1.
! Pr3Zn8Au (PBE, optimized geometry); values from VASP
&SYSTEM
  ibrav = 0, nat = 12, ntyp = 3
/
ATOMIC_SPECIES
Pr 140.91 Pr.upf
Zn 65.41 Zn.upf
Au 196.97 Au.upf
ATOMIC_POSITIONS angstrom
Pr 0.000 0.000 0.000
Pr 0.000 0.000 3.481
Pr 0.000 0.000 16.689
Zn -1.389 -0.802 10.740
Zn 0.000 -1.581 6.165
Zn -1.370 0.791 6.165
Zn 0.000 0.000 8.459
Zn 1.370 0.791 6.165
Zn 1.389 -0.802 10.740
Zn 0.000 1.603 10.740
Zn 0.000 0.000 22.076
Au 0.000 0.000 13.369
CELL_PARAMETERS angstrom
2.757 1.592 9.069
-2.757 1.592 9.069
0.000 -3.183 9.069
! Crystal system: trigonal
! Formation enthalpy at 0 K, eV per formula unit: -3.55
! Theoretical density, g/cm³: 7.95

2.
! Pr2ZnAu3 (PBE, optimized geometry); values from VASP
&SYSTEM
  ibrav = 0, nat = 12, ntyp = 3
/
ATOMIC_SPECIES
Pr 140.91 Pr.upf
Zn 65.41 Zn.upf
Au 196.97 Au.upf
ATOMIC_POSITIONS angstrom
Pr 5.576 4.707 8.108
Pr 1.847 2.353 4.054
Pr 5.541 7.060 12.162
Pr 1.812 4.707 8.108
Zn 3.694 4.707 5.401
Zn 3.694 4.707 10.815
Au 3.694 4.707 2.786
Au 3.694 2.453 6.707
Au 3.694 2.453 9.509
Au 3.694 6.961 6.707
Au 3.694 6.961 9.509
Au 3.694 4.707 13.430
CELL_PARAMETERS angstrom
0.000 4.707 8.108
3.694 0.000 8.108
3.694 4.707 0.000
! Crystal system: orthorhombic
! Formation enthalpy at 0 K, eV per formula unit: -4.29
! Theoretical density, g/cm³: 11.05

3.
! Pr6Zn5Au (PBE, optimized geometry); values from VASP
&SYSTEM
  ibrav = 0, nat = 12, ntyp = 3
/
ATOMIC_SPECIES
Pr 140.91 Pr.upf
Zn 65.41 Zn.upf
Au 196.97 Au.upf
ATOMIC_POSITIONS angstrom
Pr 0.000 0.000 1.838
Pr 0.000 0.000 5.583
Pr 2.632 2.636 1.826
Pr 2.632 2.636 5.595
Pr 2.632 -2.636 1.826
Pr 2.632 -2.636 5.595
Zn 2.632 5.247 0.000
Zn 2.632 5.171 3.711
Zn 2.632 0.000 0.000
Zn 2.632 -5.171 3.711
Zn 2.632 -5.247 0.000
Au 2.632 0.000 3.711
CELL_PARAMETERS angstrom
2.632 -7.912 0.000
2.632 7.912 0.000
0.000 0.000 7.421
! Crystal system: orthorhombic
! Formation enthalpy at 0 K, eV per formula unit: -4.47
! Theoretical density, g/cm³: 7.36